VASP calculation (PBE) on CePm2Ga2 after structural relaxation.

a b c (Å): 7.647 7.647 7.647
angles (deg): 111.30 87.00 133.57
Sites, in units of the cell vectors:
1 Ce 0.250 0.250 0.000
2 Ce 0.750 0.750 0.000
3 Pm 0.148 0.626 0.774
4 Pm 0.352 0.126 0.478
5 Pm 0.648 0.874 0.522
6 Pm 0.852 0.374 0.226
7 Ga 0.114 0.275 0.389
8 Ga 0.386 0.775 0.161
9 Ga 0.614 0.225 0.839
10 Ga 0.886 0.725 0.611

Summary:
As for the symmetry: Ibam (72). The relative energy among the computed polymorphs is 162 meV/atom. The calculation puts the energy of formation at -276 meV/atom. The value obtained for the density of states at the Fermi level is 1.529 states/eV/atom.


VASP calculation (PBE) on CePm2Ga after structural relaxation.

a b c (Å): 4.854 4.854 4.586
angles (deg): 90.00 90.00 90.00
Sites, in units of the cell vectors:
1 Ce 0.000 0.000 0.000
2 Pm 0.000 0.500 0.500
3 Pm 0.500 0.000 0.500
4 Ga 0.500 0.500 0.000

Summary:
As for the symmetry: P4/mmm (123). The relative energy among the computed polymorphs is 0 meV/atom. The calculation puts the energy of formation at -216 meV/atom. The value obtained for the density of states at the Fermi level is 1.753 states/eV/atom.


VASP calculation (PBE) on Ce12PmGa6 after structural relaxation.

a b c (Å): 8.308 8.308 8.308
angles (deg): 103.00 103.00 103.00
Sites, in units of the cell vectors:
1 Ce 0.000 0.397 0.603
2 Ce 0.000 0.603 0.397
3 Ce 0.088 0.088 0.356
4 Ce 0.088 0.356 0.088
5 Ce 0.356 0.088 0.088
6 Ce 0.397 0.000 0.603
7 Ce 0.397 0.603 0.000
8 Ce 0.603 0.000 0.397
9 Ce 0.603 0.397 0.000
10 Ce 0.644 0.912 0.912
11 Ce 0.912 0.644 0.912
12 Ce 0.912 0.912 0.644
13 Pm 0.500 0.500 0.500
14 Ga 0.218 0.770 0.770
15 Ga 0.230 0.230 0.782
16 Ga 0.230 0.782 0.230
17 Ga 0.770 0.218 0.770
18 Ga 0.770 0.770 0.218
19 Ga 0.782 0.230 0.230

Summary:
As for the symmetry: R-3m (166). The calculation puts the energy of formation at -142 meV/atom. The value obtained for the density of states at the Fermi level is 2.821 states/eV/atom.


VASP calculation (PBE) on Ce2PmGa2 after structural relaxation.

a b c (Å): 6.098 4.297 10.176
angles (deg): 90.00 103.64 90.00
Sites, in units of the cell vectors:
1 Ce 0.120 0.250 0.059
2 Ce 0.321 0.750 0.354
3 Ce 0.679 0.250 0.646
4 Ce 0.880 0.750 0.941
5 Pm 0.244 0.750 0.751
6 Pm 0.756 0.250 0.249
7 Ga 0.140 0.250 0.520
8 Ga 0.462 0.750 0.072
9 Ga 0.538 0.250 0.928
10 Ga 0.860 0.750 0.480

Summary:
As for the symmetry: P2_1/m (11). The calculation puts the energy of formation at -348 meV/atom. The value obtained for the density of states at the Fermi level is 2.105 states/eV/atom.


VASP calculation (PBE) on CePmGa4 after structural relaxation.

a b c (Å): 4.248 4.248 14.814
angles (deg): 90.00 90.00 90.00
Sites, in units of the cell vectors:
1 Ce 0.000 0.000 0.000
2 Ce 0.500 0.500 0.500
3 Pm 0.000 0.500 0.250
4 Pm 0.500 0.000 0.750
5 Ga 0.000 0.000 0.417
6 Ga 0.000 0.000 0.583
7 Ga 0.000 0.500 0.667
8 Ga 0.000 0.500 0.833
9 Ga 0.500 0.000 0.167
10 Ga 0.500 0.000 0.333
11 Ga 0.500 0.500 0.083
12 Ga 0.500 0.500 0.917

Summary:
As for the symmetry: I-4m2 (119). The relative energy among the computed polymorphs is 9 meV/atom. The calculation puts the energy of formation at -635 meV/atom. The value obtained for the density of states at the Fermi level is 1.116 states/eV/atom.


VASP calculation (PBE) on CePm3Ga8 after structural relaxation.

a b c (Å): 9.721 9.721 9.721
angles (deg): 33.46 33.46 33.46
Sites, in units of the cell vectors:
1 Ce 0.000 0.000 0.000
2 Pm 0.374 0.374 0.374
3 Pm 0.500 0.500 0.500
4 Pm 0.876 0.876 0.876
5 Ga 0.187 0.187 0.187
6 Ga 0.437 0.938 0.938
7 Ga 0.438 0.438 0.937
8 Ga 0.438 0.937 0.438
9 Ga 0.688 0.688 0.688
10 Ga 0.937 0.438 0.438
11 Ga 0.938 0.437 0.938
12 Ga 0.938 0.938 0.437

Summary:
As for the symmetry: R3m (160). The calculation puts the energy of formation at -557 meV/atom. The value obtained for the density of states at the Fermi level is 0.951 states/eV/atom.


VASP calculation (PBE) on Ce2Pm2Ga5 after structural relaxation.

a b c (Å): 8.205 8.205 7.837
angles (deg): 90.00 90.00 57.53
Sites, in units of the cell vectors:
1 Ce 0.122 0.878 0.879
2 Ce 0.378 0.622 0.379
3 Ce 0.622 0.378 0.621
4 Ce 0.878 0.122 0.121
5 Pm 0.213 0.213 0.500
6 Pm 0.287 0.287 0.000
7 Pm 0.713 0.713 0.000
8 Pm 0.787 0.787 0.500
9 Ga 0.000 0.000 0.500
10 Ga 0.045 0.684 0.184
11 Ga 0.184 0.545 0.684
12 Ga 0.316 0.955 0.184
13 Ga 0.455 0.816 0.684
14 Ga 0.500 0.500 0.000
15 Ga 0.545 0.184 0.316
16 Ga 0.684 0.045 0.816
17 Ga 0.816 0.455 0.316
18 Ga 0.955 0.316 0.816

Summary:
As for the symmetry: Cmce (64). The calculation puts the energy of formation at -402 meV/atom. The value obtained for the density of states at the Fermi level is 1.338 states/eV/atom.


VASP calculation (PBE) on CePmGa after structural relaxation.

a b c (Å): 4.919 4.919 3.697
angles (deg): 90.00 90.00 120.00
Sites, in units of the cell vectors:
1 Ce 0.000 0.000 0.000
2 Pm 0.667 0.333 0.378
3 Ga 0.333 0.667 0.670

Summary:
As for the symmetry: P3m1 (156). The relative energy among the computed polymorphs is 45 meV/atom. The calculation puts the energy of formation at -215 meV/atom. The value obtained for the density of states at the Fermi level is 1.865 states/eV/atom.


VASP calculation (PBE) on CePmGa4 after structural relaxation.

a b c (Å): 4.271 4.271 8.439
angles (deg): 90.00 90.00 120.00
Sites, in units of the cell vectors:
1 Ce 0.000 0.000 0.000
2 Pm 0.000 0.000 0.500
3 Ga 0.333 0.667 0.247
4 Ga 0.333 0.667 0.753
5 Ga 0.667 0.333 0.247
6 Ga 0.667 0.333 0.753

Summary:
As for the symmetry: P6/mmm (191). The relative energy among the computed polymorphs is 0 meV/atom. The calculation puts the energy of formation at -644 meV/atom. The value obtained for the density of states at the Fermi level is 1.082 states/eV/atom.


VASP calculation (PBE) on CePmGa after structural relaxation.

a b c (Å): 3.737 3.737 11.801
angles (deg): 90.00 90.00 90.00
Sites, in units of the cell vectors:
1 Ce 0.000 0.000 0.000
2 Ce 0.500 0.500 0.500
3 Pm 0.000 0.000 0.711
4 Pm 0.500 0.500 0.211
5 Ga 0.000 0.000 0.355
6 Ga 0.500 0.500 0.855

Summary:
As for the symmetry: I4mm (107). The relative energy among the computed polymorphs is 0 meV/atom. The calculation puts the energy of formation at -260 meV/atom. The value obtained for the density of states at the Fermi level is 2.244 states/eV/atom.


VASP calculation (PBE) on CePmGa after structural relaxation.

a b c (Å): 3.226 5.578 18.015
angles (deg): 90.00 90.00 90.00
Sites, in units of the cell vectors:
1 Ce 0.000 0.244 0.000
2 Ce 0.000 0.756 0.000
3 Ce 0.500 0.256 0.500
4 Ce 0.500 0.744 0.500
5 Pm 0.000 0.500 0.323
6 Pm 0.000 0.500 0.677
7 Pm 0.500 0.000 0.177
8 Pm 0.500 0.000 0.823
9 Ga 0.000 0.500 0.152
10 Ga 0.000 0.500 0.848
11 Ga 0.500 0.000 0.348
12 Ga 0.500 0.000 0.652

Summary:
As for the symmetry: Immm (71). The relative energy among the computed polymorphs is 164 meV/atom. The calculation puts the energy of formation at -96 meV/atom. The value obtained for the density of states at the Fermi level is 1.884 states/eV/atom.


VASP calculation (PBE) on CePm5Ga8 after structural relaxation.

a b c (Å): 7.684 7.684 7.684
angles (deg): 109.53 109.53 109.36
Sites, in units of the cell vectors:
1 Ce 0.000 0.000 0.000
2 Pm 0.248 0.624 0.125
3 Pm 0.376 0.500 0.623
4 Pm 0.500 0.123 0.875
5 Pm 0.750 0.250 0.500
6 Pm 0.877 0.752 0.377
7 Ga 0.124 0.701 0.749
8 Ga 0.127 0.204 0.751
9 Ga 0.299 0.047 0.422
10 Ga 0.453 0.376 0.249
11 Ga 0.624 0.873 0.077
12 Ga 0.625 0.876 0.578
13 Ga 0.796 0.547 0.923
14 Ga 0.953 0.375 0.251

Summary:
As for the symmetry: I-4 (82). The calculation puts the energy of formation at -469 meV/atom. The value obtained for the density of states at the Fermi level is 1.142 states/eV/atom.